{
  "formula": "SiRu",
  "functional": "PBE",
  "state": "optimized geometry",
  "energy_ev_per_fu": -14.4,
  "raw_formation_energy_ev_per_atom": 0.15,
  "density_g_cm3": 7.7,
  "lattice_angstrom": [[-1.044, -1.041, -4.022], [-3.881, -1.596, -0.861], [-2.857, 2.359, -2.150]],
  "species": ["Ru", "Ru", "Si", "Si"],
  "frac_coords": [[0.000, 0.000, 0.000], [0.250, 0.250, 0.250], [0.500, 0.500, 0.500], [0.750, 0.750, 0.750]]
}

{
  "formula": "Na2UBi2S6",
  "functional": "PBE",
  "state": "optimized geometry",
  "energy_ev_per_fu": -56.5,
  "raw_formation_energy_ev_per_atom": -0.91,
  "density_g_cm3": 5.1,
  "lattice_angstrom": [[7.017, 0.020, 0.063], [-3.451, 6.109, 0.063], [-1.279, -2.199, 6.736]],
  "species": ["Na", "Na", "U", "Bi", "Bi", "S", "S", "S", "S", "S", "S"],
  "frac_coords": [[0.828, 0.172, 0.000], [0.172, 0.828, 0.000], [0.000, 0.000, 0.500], [0.332, 0.668, 0.500], [0.668, 0.332, 0.500], [0.768, 0.768, 0.726], [0.073, 0.399, 0.726], [0.232, 0.232, 0.274], [0.399, 0.073, 0.726], [0.927, 0.601, 0.274], [0.601, 0.927, 0.274]]
}

Number 1: total moment 1.093 μB/cell. Number 2: total moment 2.000 μB/cell.